# 1
9
Lattice="3.197 0.000 0.000 0.000 9.437 0.000 0.000 -4.718 8.172" Properties=species:S:1:pos:R:3 comment="UTl2Br3O3 (PBE-GGA, optimized geometry)" raw_formation_energy_ev_per_atom=-1.43 density_g_cm3=6.3 total_energy_ev_per_atom=-5.425 pbc="T T T"
U 0.000 0.000 0.000
Tl 1.599 0.000 5.448
Tl 1.599 4.718 2.724
Br 0.000 -1.843 3.192
Br 0.000 2.875 4.980
Br 0.000 3.686 0.000
O 1.599 8.014 0.000
O 1.599 0.711 1.232
O 1.599 -4.007 6.940

***

# 2
5
Lattice="5.204 0.000 0.000 0.000 5.204 0.000 0.000 0.000 5.204" Properties=species:S:1:pos:R:3 comment="NaSb3Pt (PBE-GGA, optimized geometry)" raw_formation_energy_ev_per_atom=1.13 density_g_cm3=6.9 e_above_lowest_polymorph_mev_per_atom=1434.4 total_energy_ev_per_atom=-2.817 pbc="T T T"
Sb 0.000 2.602 0.000
Sb 0.000 0.000 2.602
Sb 2.602 0.000 0.000
Pt 2.602 2.602 2.602
Na 0.000 0.000 0.000

***

# 3
9
Lattice="-0.348 -2.319 -4.127 7.208 -1.863 -2.290 -0.675 -7.594 1.595" Properties=species:S:1:pos:R:3 comment="Na4CdPb4 (PBE-GGA, optimized geometry)" delta_e_f_ev_per_atom=-0.11 density_g_cm3=6.6 total_energy_ev_per_atom=-2.450 pbc="T T T"
Na 1.170 -0.701 -1.070
Na 5.015 -11.076 -3.752
Na 3.092 -5.373 -4.065
Na 3.093 -6.404 -0.756
Cd 3.430 -2.091 -3.208
Pb 0.790 -4.011 -1.907
Pb 5.396 -7.765 -2.914
Pb 5.735 -4.482 -2.059
Pb 0.450 -7.294 -2.763

***

# 4
4
Lattice="4.774 0.000 0.000 2.387 4.134 0.000 2.387 1.378 3.898" Properties=species:S:1:pos:R:3 comment="LiPuCuSn (PBE-GGA, optimized geometry)" delta_e_f_ev_per_atom=-0.20 density_g_cm3=9.4 total_energy_ev_per_atom=-6.288 pbc="T T T"
Li 4.774 2.756 1.949
Sn 2.387 1.378 0.974
Cu 0.000 0.000 0.000
Pu 7.160 4.134 2.923

***

# 5
10
Lattice="7.436 0.006 -0.002 3.724 6.437 0.000 3.718 2.149 6.817" Properties=species:S:1:pos:R:3 comment="Ac6NiRuRh2 (PBE-GGA, optimized geometry)" delta_e_f_ev_per_atom=-0.40 density_g_cm3=8.8 total_energy_ev_per_atom=-5.842 pbc="T T T"
Ac 6.187 2.135 1.741
Ac 6.187 6.457 1.741
Ac 9.938 4.303 1.737
Ac 8.706 6.432 5.109
Ac 8.661 2.130 5.106
Ac 4.956 4.317 5.107
Ni 7.437 4.294 6.751
Ru 11.157 6.444 3.355
Rh 7.441 4.297 3.466
Rh 11.159 6.444 0.066

***

# 6
4
Lattice="4.334 0.000 0.000 -2.167 3.753 0.000 0.000 0.000 13.442" Properties=species:S:1:pos:R:3 comment="K3In (PBE-GGA, optimized geometry)" delta_e_f_ev_per_atom=0.09 density_g_cm3=1.8 e_above_lowest_polymorph_mev_per_atom=97.8 total_energy_ev_per_atom=-1.415 pbc="T T T"
In 0.000 0.000 0.000
K 0.000 0.000 6.721
K 2.167 1.251 2.732
K 2.167 1.251 10.710

***

# 7
4
Lattice="3.825 0.000 0.000 0.000 3.882 -0.059 0.000 0.143 8.446" Properties=species:S:1:pos:R:3 comment="La2CdCl (PBE-GGA, optimized geometry)" raw_formation_energy_ev_per_atom=-0.87 density_g_cm3=5.6 e_above_lowest_polymorph_mev_per_atom=0.0 total_energy_ev_per_atom=-4.025 pbc="T T T"
Cl 1.913 3.019 6.290
Cd 1.913 1.006 2.097
La 0.000 2.917 0.109
La 0.000 2.977 4.025

***

# 8
5
Lattice="-2.020 -3.933 -0.998 1.645 0.564 -5.553 3.850 -2.210 0.916" Properties=species:S:1:pos:R:3 comment="YZnSi2Br (PBE-GGA, optimized geometry)" raw_formation_energy_ev_per_atom=0.19 density_g_cm3=4.0 total_energy_ev_per_atom=-3.865 pbc="T T T"
Y 0.823 0.282 -2.777
Zn 0.000 0.000 0.000
Si 1.925 -1.105 0.458
Si -1.010 -1.966 -0.499
Br 1.737 -2.790 -2.817

***

# 9
6
Lattice="-2.962 9.222 6.790 1.427 -1.119 2.142 2.312 1.355 -0.832" Properties=species:S:1:pos:R:3 comment="Zn5Ag (PBE-GGA, optimized geometry)" delta_e_f_ev_per_atom=0.02 density_g_cm3=7.8 total_energy_ev_per_atom=-1.514 pbc="T T T"
Ag -0.599 7.803 6.313
Zn -0.027 0.085 0.063
Zn 1.363 1.697 1.817
Zn -0.987 3.074 2.263
Zn 0.402 4.688 4.019
Zn -1.947 6.063 4.464

***

# 10
10
Lattice="5.509 0.000 0.000 2.755 5.050 0.000 2.755 0.000 7.284" Properties=species:S:1:pos:R:3 comment="Li3Mg2 (PBE-GGA, optimized geometry)" delta_e_f_ev_per_atom=-0.04 density_g_cm3=1.1 e_above_lowest_polymorph_mev_per_atom=0.8 total_energy_ev_per_atom=-1.823 pbc="T T T"
Li 3.769 0.000 0.000
Li 5.147 2.525 3.642
Li 2.602 2.166 2.191
Li 8.111 2.883 5.093
Li 3.980 0.358 5.833
Li 3.980 4.691 1.451
Mg 5.511 2.272 0.744
Mg 5.511 2.778 6.540
Mg 6.889 0.253 4.387
Mg 6.889 4.796 2.898

***

# 11
4
Lattice="5.724 0.000 0.000 2.862 4.957 0.000 2.862 1.652 4.674" Properties=species:S:1:pos:R:3 comment="EuHoErTh (PBE-GGA, optimized geometry)" delta_e_f_ev_per_atom=0.19 density_g_cm3=9.0 total_energy_ev_per_atom=-6.516 pbc="T T T"
Eu 0.000 0.000 0.000
Ho 8.587 4.957 3.505
Th 5.724 3.305 2.337
Er 2.862 1.652 1.168

***

# 12
12
Lattice="-0.694 2.032 -3.960 -5.027 -9.229 -1.293 -5.886 8.257 5.269" Properties=species:S:1:pos:R:3 comment="RbGaPb (PBE-GGA, optimized geometry)" delta_e_f_ev_per_atom=-0.10 density_g_cm3=5.1 total_energy_ev_per_atom=-2.670 pbc="T T T"
Ga -6.596 2.680 2.531
Ga -5.315 -1.031 0.403
Ga -6.292 2.092 -0.386
Ga -5.011 -1.619 -2.515
Pb -5.790 4.858 0.946
Pb -7.757 0.310 1.519
Pb -3.850 0.750 -1.502
Pb -5.817 -3.798 -0.929
Rb -2.884 2.300 1.686
Rb -1.708 -2.382 -0.923
Rb -9.899 3.443 0.940
Rb -8.723 -1.239 -1.669